[1]
# Bi2O3, optimized geometry, DFT PBE-GGA
# Crystal system: triclinic
# Raw formation energy in kJ/mol of atoms: -113.3
# D(E_F) in states/eV/f.u.: 0.0
# Energy in eV/atom: -5.701
# Spin magnetization in μB per formula unit: 0.000
data_Bi2O3
_space_group_name_H-M_alt 'P 1'
_space_group_IT_number 1
_cell_length_a 7.2424
_cell_length_b 7.5775
_cell_length_c 7.6769
_cell_angle_alpha 65.27
_cell_angle_beta 89.88
_cell_angle_gamma 71.60
loop_
_space_group_symop_operation_xyz
'x,y,z'
loop_
_atom_site_label
_atom_site_type_symbol
_atom_site_fract_x
_atom_site_fract_y
_atom_site_fract_z
Bi1 Bi 0.0000 0.0000 0.0000
Bi2 Bi 0.0023 0.0220 0.4966
Bi3 Bi 0.0086 0.5044 0.0104
Bi4 Bi 0.4808 0.0735 0.2143
Bi5 Bi 0.4929 0.5321 0.2603
Bi6 Bi 0.5073 0.9636 0.7949
Bi7 Bi 0.5108 0.4995 0.7535
Bi8 Bi 0.9967 0.5331 0.5297
O1 O 0.0168 0.8572 0.3141
O2 O 0.1399 0.1976 0.2642
O3 O 0.3190 0.8355 0.6683
O4 O 0.3321 0.4087 0.5991
O5 O 0.3317 0.9668 0.0203
O6 O 0.3420 0.4036 0.0078
O7 O 0.6583 0.6008 0.4407
O8 O 0.6585 0.6350 0.0081
O9 O 0.6696 0.0914 0.9713
O10 O 0.6700 0.2114 0.3470
O11 O 0.9300 0.7224 0.6790
O12 O 0.9509 0.3286 0.8646

---

[2]
# KTaAu3, optimized geometry, DFT PBE-GGA
# ΔE_f in eV per atom: 1.879
# Crystal system: cubic
# D(E_F) in states/eV/f.u.: 3.0
# Energy in eV/atom: -2.678
# Spin magnetization in μB per formula unit: 2.685
# E above lowest polymorph in meV/atom: 1544
data_KTaAu3
_space_group_name_H-M_alt 'P m -3 m'
_space_group_IT_number 221
_space_group_name_Hall '-P 4 2 3'
_cell_length_a 5.1719
_cell_length_b 5.1719
_cell_length_c 5.1719
_cell_angle_alpha 90.00
_cell_angle_beta 90.00
_cell_angle_gamma 90.00
loop_
_atom_site_label
_atom_site_type_symbol
_atom_site_fract_x
_atom_site_fract_y
_atom_site_fract_z
K1 K 0.0000 0.0000 0.0000
Ta1 Ta 0.5000 0.5000 0.5000
Au1 Au 0.0000 0.0000 0.5000

---

[3]
# Ce2HoMnN4, optimized geometry, DFT PBE-GGA
# Crystal system: orthorhombic
# Raw formation energy in kJ/mol of atoms: -107.2
# D(E_F) in states/eV/f.u.: 5.9
# Energy in eV/atom: -8.476
# Spin magnetization in μB per formula unit: 0.488
data_Ce2HoMnN4
_space_group_name_H-M_alt 'C m c m'
_space_group_IT_number 63
_space_group_name_Hall '-C 2c 2'
_cell_length_a 3.3525
_cell_length_b 11.4649
_cell_length_c 11.7364
_cell_angle_alpha 90.00
_cell_angle_beta 90.00
_cell_angle_gamma 90.00
loop_
_atom_site_label
_atom_site_type_symbol
_atom_site_fract_x
_atom_site_fract_y
_atom_site_fract_z
Ce1 Ce 0.0000 0.1343 0.0510
Ho1 Ho 0.0000 0.3855 0.2500
Mn1 Mn 0.0000 0.3489 0.7500
N1 N 0.0000 0.0586 0.2500
N2 N 0.0000 0.2272 0.6358
N3 N 0.0000 0.5000 0.0000

---

[4]
# La6PmY8, optimized geometry, DFT PBE-GGA
# ΔE_f in eV per atom: 0.111
# Crystal system: trigonal
# D(E_F) in states/eV/f.u.: 24.3
# Energy in eV/atom: -5.624
# Spin magnetization in μB per formula unit: 0.000
data_La6PmY8
_space_group_name_H-M_alt 'R -3'
_space_group_IT_number 148
_space_group_name_Hall '-R 3'
_cell_length_a 9.1649
_cell_length_b 9.1649
_cell_length_c 21.4450
_cell_angle_alpha 90.00
_cell_angle_beta 90.00
_cell_angle_gamma 120.00
loop_
_atom_site_label
_atom_site_type_symbol
_atom_site_fract_x
_atom_site_fract_y
_atom_site_fract_z
La1 La 0.0523 0.2475 0.2127
Pm1 Pm 0.0000 0.0000 0.5000
Y1 Y 0.0000 0.0000 0.0773
Y2 Y 0.0801 0.5722 0.3059

---

[5]
# LiV2N3, optimized geometry, DFT PBE-GGA
# Crystal system: monoclinic
# Raw formation energy in kJ/mol of atoms: -81.9
# D(E_F) in states/eV/f.u.: 3.0
# Energy in eV/atom: -8.370
# Spin magnetization in μB per formula unit: 0.000
# E above lowest polymorph in meV/atom: 100
data_LiV2N3
_space_group_name_H-M_alt 'P 1 21/m 1'
_space_group_IT_number 11
_cell_length_a 5.0293
_cell_length_b 2.8517
_cell_length_c 7.5635
_cell_angle_alpha 90.00
_cell_angle_beta 103.18
_cell_angle_gamma 90.00
loop_
_space_group_symop_operation_xyz
'x,y,z'
'-x,-y,-z'
'-x,y+1/2,-z'
'x,-y+1/2,z'
loop_
_atom_site_label
_atom_site_type_symbol
_atom_site_fract_x
_atom_site_fract_y
_atom_site_fract_z
Li1 Li 0.0268 0.2500 0.3493
V1 V 0.2340 0.2500 0.9863
V2 V 0.4903 0.2500 0.6690
N1 N 0.1458 0.7500 0.1537
N2 N 0.2878 0.7500 0.5104
N3 N 0.3774 0.7500 0.8412

---

[6]
# Sb2Mo, optimized geometry, DFT PBE-GGA
# Crystal system: orthorhombic
# Raw formation energy in kJ/mol of atoms: 37.2
# D(E_F) in states/eV/f.u.: 2.5
# Energy in eV/atom: -5.973
# Spin magnetization in μB per formula unit: 0.000
data_Sb2Mo
_space_group_name_H-M_alt 'C m c m'
_space_group_IT_number 63
_space_group_name_Hall '-C 2c 2'
_cell_length_a 3.6057
_cell_length_b 13.6821
_cell_length_c 5.1129
_cell_angle_alpha 90.00
_cell_angle_beta 90.00
_cell_angle_gamma 90.00
loop_
_atom_site_label
_atom_site_type_symbol
_atom_site_fract_x
_atom_site_fract_y
_atom_site_fract_z
Sb1 Sb 0.0000 0.0606 0.2500
Sb2 Sb 0.0000 0.2621 0.7500
Mo1 Mo 0.0000 0.3983 0.2500

---

[7]
# Y5IrAu4, optimized geometry, DFT PBE-GGA
# ΔE_f in eV per atom: -0.848
# Crystal system: tetragonal
# D(E_F) in states/eV/f.u.: 5.9
# Energy in eV/atom: -6.277
# Spin magnetization in μB per formula unit: 0.000
data_Y5IrAu4
_space_group_name_H-M_alt 'P 4/m m m'
_space_group_IT_number 123
_space_group_name_Hall '-P 4 2'
_cell_length_a 3.5699
_cell_length_b 3.5699
_cell_length_c 17.9170
_cell_angle_alpha 90.00
_cell_angle_beta 90.00
_cell_angle_gamma 90.00
loop_
_atom_site_label
_atom_site_type_symbol
_atom_site_fract_x
_atom_site_fract_y
_atom_site_fract_z
Y1 Y 0.0000 0.0000 0.0000
Y2 Y 0.0000 0.0000 0.2048
Y3 Y 0.0000 0.0000 0.4089
Ir1 Ir 0.5000 0.5000 0.5000
Au1 Au 0.5000 0.5000 0.1010
Au2 Au 0.5000 0.5000 0.3040

---

[8]
# CeTmSc4, optimized geometry, DFT PBE-GGA
# ΔE_f in eV per atom: 0.060
# Crystal system: orthorhombic
# D(E_F) in states/eV/f.u.: 12.9
# Energy in eV/atom: -5.895
# Spin magnetization in μB per formula unit: 0.517
# E above lowest polymorph in meV/atom: 0
data_CeTmSc4
_space_group_name_H-M_alt 'P m m m'
_space_group_IT_number 47
_cell_length_a 3.2518
_cell_length_b 5.2913
_cell_length_c 9.1258
_cell_angle_alpha 90.00
_cell_angle_beta 90.00
_cell_angle_gamma 90.00
loop_
_space_group_symop_operation_xyz
'x,y,z'
'-x,-y,-z'
'-x,-y,z'
'x,y,-z'
'x,-y,-z'
'-x,y,z'
'-x,y,-z'
'x,-y,z'
loop_
_atom_site_label
_atom_site_type_symbol
_atom_site_fract_x
_atom_site_fract_y
_atom_site_fract_z
Ce1 Ce 0.0000 0.0000 0.0000
Tm1 Tm 0.0000 0.5000 0.5000
Sc1 Sc 0.5000 0.0000 0.3338
Sc2 Sc 0.5000 0.5000 0.1674

---

[9]
# Pm6SnGe5, optimized geometry, DFT PBE-GGA
# ΔE_f in eV per atom: -0.647
# Crystal system: monoclinic
# D(E_F) in states/eV/f.u.: 10.6
# Energy in eV/atom: -5.280
# Spin magnetization in μB per formula unit: 0.000
data_Pm6SnGe5
_space_group_name_H-M_alt 'C 1 2/m 1'
_space_group_IT_number 12
_cell_length_a 7.5156
_cell_length_b 12.8020
_cell_length_c 7.4279
_cell_angle_alpha 90.00
_cell_angle_beta 109.09
_cell_angle_gamma 90.00
loop_
_space_group_symop_operation_xyz
'x,y,z'
'-x,-y,-z'
'-x,y,-z'
'x,-y,z'
'x+1/2,y+1/2,z'
'-x+1/2,-y+1/2,-z'
'-x+1/2,y+1/2,-z'
'x+1/2,-y+1/2,z'
loop_
_atom_site_label
_atom_site_type_symbol
_atom_site_fract_x
_atom_site_fract_y
_atom_site_fract_z
Pm1 Pm 0.2368 0.0000 0.2554
Pm2 Pm 0.2384 0.1733 0.7397
Sn1 Sn 0.0000 0.5000 0.0000
Ge1 Ge 0.0000 0.0000 0.5000
Ge2 Ge 0.0000 0.1691 0.0000
Ge3 Ge 0.0000 0.3412 0.5000

---

[10]
# Y11Er9Th4, optimized geometry, DFT PBE-GGA
# ΔE_f in eV per atom: 0.113
# Crystal system: orthorhombic
# D(E_F) in states/eV/f.u.: 35.9
# Energy in eV/atom: -5.798
# Spin magnetization in μB per formula unit: 0.000
data_Y11Er9Th4
_space_group_name_H-M_alt 'C m m m'
_space_group_IT_number 65
_space_group_name_Hall '-C 2 2'
_cell_length_a 16.7361
_cell_length_b 25.1750
_cell_length_c 3.6954
_cell_angle_alpha 90.00
_cell_angle_beta 90.00
_cell_angle_gamma 90.00
loop_
_atom_site_label
_atom_site_type_symbol
_atom_site_fract_x
_atom_site_fract_y
_atom_site_fract_z
Y1 Y 0.0000 0.0000 0.0000
Y2 Y 0.0000 0.1594 0.0000
Y3 Y 0.0000 0.3633 0.0000
Y4 Y 0.2172 0.5000 0.0000
Y5 Y 0.2267 0.1809 0.0000
Er1 Er 0.0000 0.5000 0.5000
Er2 Er 0.1013 0.2641 0.5000
Er3 Er 0.1385 0.0729 0.5000
Th1 Th 0.1546 0.4001 0.5000

---

[11]
# Ba2PrAg3O6, optimized geometry, DFT PBE-GGA
# Crystal system: tetragonal
# Raw formation energy in kJ/mol of atoms: -149.6
# D(E_F) in states/eV/f.u.: 2.1
# Energy in eV/atom: -5.461
# Spin magnetization in μB per formula unit: 0.000
data_Ba2PrAg3O6
_space_group_name_H-M_alt 'P 4/m m m'
_space_group_IT_number 123
_space_group_name_Hall '-P 4 2'
_cell_length_a 4.1525
_cell_length_b 4.1525
_cell_length_c 12.7253
_cell_angle_alpha 90.00
_cell_angle_beta 90.00
_cell_angle_gamma 90.00
loop_
_atom_site_label
_atom_site_type_symbol
_atom_site_fract_x
_atom_site_fract_y
_atom_site_fract_z
Ba1 Ba 0.0000 0.0000 0.2015
Pr1 Pr 0.0000 0.0000 0.5000
Ag1 Ag 0.5000 0.5000 0.0000
Ag2 Ag 0.5000 0.5000 0.3618
O1 O 0.0000 0.5000 0.3813
O2 O 0.5000 0.5000 0.1614